First-principles (PBE) data for a relaxed structure of ScCdSe2, as listed in Alexandria.

Structure (extended XYZ):
```
4
Lattice="4.2542 0.0000 0.0000 0.0000 5.6146 0.0000 0.0000 0.0000 3.6217" Properties=species:S:1:pos:R:3 pbc="T T T"
Sc 0.0000 2.8073 1.8108
Se 0.0000 0.0000 0.0000
Se 2.1271 2.8073 0.0000
Cd 2.1271 0.0000 1.8108
```

Summary:
formation energy from raw total energies	-0.7816	eV/atom


First-principles (PBE) data for a relaxed structure of ScCdSe2, as listed in Alexandria.

Structure (extended XYZ):
```
8
Lattice="-5.7228 -2.3673 1.5196 -0.7228 -2.0918 -5.9805 -0.6728 -7.4252 -0.7213" Properties=species:S:1:pos:R:3 pbc="T T T"
Se -3.6924 -3.5382 -0.0161
Cd -4.8092 -6.0110 -0.7160
Se -2.9397 -7.2933 -2.3631
Sc -3.2228 -2.2295 -2.2304
Sc -2.3092 -5.8733 -4.4661
Cd 0.0000 0.0000 0.0000
Se -6.1264 -9.4184 -4.2949
Se -1.4782 -3.5187 -3.6902
```

Summary:
formation energy from raw total energies	-0.8906	eV/atom


First-principles (PBE) data for a relaxed structure of Sc2CdSiSe, as listed in Alexandria.

Structure (extended XYZ):
```
5
Lattice="-2.5353 1.9625 -4.3503 -1.2979 -4.1862 -1.1321 -4.5139 0.6132 2.9074" Properties=species:S:1:pos:R:3 pbc="T T T"
Si -0.6489 -2.0931 -0.5660
Cd 0.0000 0.0000 0.0000
Sc -1.2677 0.9813 -2.1751
Sc -2.2570 0.3066 1.4537
Se -4.1736 -0.8052 -1.2875
```

Summary:
formation energy from raw total energies	0.4131	eV/atom


First-principles (PBE) data for a relaxed structure of ScCdSnSe2, as listed in Alexandria.

Structure (extended XYZ):
```
5
Lattice="-0.8500 1.4057 -4.8679 -3.4707 -3.7575 -0.4790 -3.9742 3.4553 1.6917" Properties=species:S:1:pos:R:3 pbc="T T T"
Se -1.7354 -1.8788 -0.2395
Cd -1.9871 1.7276 0.8458
Se -0.4250 0.7028 -2.4339
Sn -4.1475 0.5517 -1.8276
Sc 0.0000 0.0000 0.0000
```

Summary:
formation energy from raw total energies	-0.2649	eV/atom


First-principles (PBE) data for a relaxed structure of ScTl2CdSe4, as listed in Alexandria.

Structure (extended XYZ):
```
8
Lattice="-0.2662 -2.9234 2.8115 5.6157 3.2735 3.9355 -2.9197 4.7031 4.6139" Properties=species:S:1:pos:R:3 pbc="T T T"
Cd -0.2449 4.8782 7.9874
Se 1.7887 5.8554 6.2579
Se 3.0185 2.1783 5.4891
Tl -2.9197 4.7031 4.6139
Se -0.5887 2.8749 5.8718
Tl -1.5929 0.8898 3.7127
Se 0.6412 -0.8022 5.1030
Sc 1.3480 3.9883 4.2747
```

Summary:
formation energy from raw total energies	-0.7954	eV/atom


First-principles (PBE) data for a relaxed structure of Sc2Cd2Si, as listed in Alexandria.

Structure (extended XYZ):
```
10
Lattice="7.0434 0.0000 0.0000 0.0000 7.0434 0.0000 0.0000 0.0000 4.6388" Properties=species:S:1:pos:R:3 pbc="T T T"
Si 3.5217 3.5217 0.0000
Sc 4.6400 1.1184 0.0000
Sc 1.1184 2.4033 0.0000
Sc 2.4033 5.9250 0.0000
Sc 5.9250 4.6400 0.0000
Cd 1.0531 4.5748 2.3194
Cd 5.9903 2.4686 2.3194
Cd 2.4686 1.0531 2.3194
Si 0.0000 0.0000 0.0000
Cd 4.5748 5.9903 2.3194
```

Summary:
E above lowest polymorph	3.4	kJ per mole of atoms
formation energy from raw total energies	-0.0905	eV/atom


Which value of formation energy from raw total energies does entry 2 give?
-0.8906 eV/atom


Which value of formation energy from raw total energies does entry 1 give?
-0.7816 eV/atom